(1)
The following is a DFT calculation (PBE) of an optimized crystal structure of CoMo2Ru. Values from VASP.

Calculated values
- Size of the total moment: 0.112 μB per atom
- Symmetry: No. 166
- Relative energy among the computed polymorphs: 0.157 eV per atom
- Energy of formation from the pure elements: 0.19 eV/atom

```
&SYSTEM
  ibrav = 0, nat = 4, ntyp = 3
/
ATOMIC_SPECIES
Co 58.93 Co.upf
Mo 95.94 Mo.upf
Ru 101.07 Ru.upf
CELL_PARAMETERS angstrom
9.0040 0.0181 0.0106
8.5893 2.7010 0.0106
8.5893 1.3275 2.3523
ATOMIC_POSITIONS crystal
Co 0.7500 0.7500 0.7500
Mo 0.0029 0.0029 0.0029
Mo 0.4971 0.4971 0.4971
Ru 0.2500 0.2500 0.2500
```

***

(2)
The following is a DFT calculation (PBE) of an optimized crystal structure of Co3MoRu. Values from VASP.

Calculated values
- Size of the total moment: 0.742 μB per atom
- Symmetry: No. 221
- Relative energy among the computed polymorphs: 0.000 eV per atom
- Energy of formation from the pure elements: 1.66 eV/atom

```
&SYSTEM
  ibrav = 0, nat = 5, ntyp = 3
/
ATOMIC_SPECIES
Ru 101.07 Ru.upf
Co 58.93 Co.upf
Mo 95.94 Mo.upf
CELL_PARAMETERS angstrom
-4.2114 -0.0200 -1.0010
-0.7384 -2.8608 3.1637
-0.6762 3.2487 2.7798
ATOMIC_POSITIONS crystal
Ru 0.5000 0.5000 0.5000
Co 0.0000 0.0000 0.5000
Co 0.0000 0.5000 0.0000
Co 0.5000 0.0000 0.0000
Mo 0.0000 0.0000 0.0000
```

***

(3)
The following is a DFT calculation (PBE) of an optimized crystal structure of CoMo2Ru2. Values from VASP.

Calculated values
- Size of the total moment: 0.000 μB per atom
- Symmetry: No. 127
- Energy of formation from the pure elements: 0.37 eV/atom

```
&SYSTEM
  ibrav = 0, nat = 10, ntyp = 3
/
ATOMIC_SPECIES
Ru 101.07 Ru.upf
Mo 95.94 Mo.upf
Co 58.93 Co.upf
CELL_PARAMETERS angstrom
-0.2151 -4.8483 5.3102
3.9787 -4.5054 -3.9523
2.4308 1.1440 1.1429
ATOMIC_POSITIONS crystal
Ru 0.8656 0.6344 0.0000
Ru 0.1344 0.3656 0.0000
Ru 0.6344 0.1344 0.0000
Ru 0.3656 0.8656 0.0000
Mo 0.1677 0.6677 0.5000
Mo 0.6677 0.8323 0.5000
Mo 0.8323 0.3323 0.5000
Mo 0.3323 0.1677 0.5000
Co 0.5000 0.5000 0.0000
Co 0.0000 0.0000 0.0000
```

***

(4)
The following is a DFT calculation (PBE) of an optimized crystal structure of CoMo2Ru. Values from VASP.

Calculated values
- Size of the total moment: 0.000 μB per atom
- Symmetry: No. 99
- Relative energy among the computed polymorphs: 0.096 eV per atom
- Energy of formation from the pure elements: 0.13 eV/atom

```
&SYSTEM
  ibrav = 0, nat = 4, ntyp = 3
/
ATOMIC_SPECIES
Mo 95.94 Mo.upf
Ru 101.07 Ru.upf
Co 58.93 Co.upf
CELL_PARAMETERS angstrom
3.1356 0.0000 0.0000
0.0000 3.1363 0.0000
0.0000 0.0000 5.7825
ATOMIC_POSITIONS crystal
Mo 0.5000 0.5000 0.2577
Mo 0.0000 0.0000 0.9605
Ru 0.0000 0.0000 0.5054
Co 0.5000 0.5000 0.7763
```

***

(5)
The following is a DFT calculation (PBE) of an optimized crystal structure of CoMo2Ru. Values from VASP.

Calculated values
- Size of the total moment: 0.017 μB per atom
- Symmetry: No. 12
- Relative energy among the computed polymorphs: 0.147 eV per atom
- Energy of formation from the pure elements: 0.18 eV/atom

```
&SYSTEM
  ibrav = 0, nat = 4, ntyp = 3
/
ATOMIC_SPECIES
Mo 95.94 Mo.upf
Ru 101.07 Ru.upf
Co 58.93 Co.upf
CELL_PARAMETERS angstrom
-3.3912 1.9869 -2.5606
-2.5065 -0.1945 -3.9603
-3.6729 -2.4601 1.5126
ATOMIC_POSITIONS crystal
Mo 0.0057 0.0057 0.9918
Mo 0.4943 0.4943 0.5082
Ru 0.2500 0.2500 0.2500
Co 0.7500 0.7500 0.7500
```

***

(6)
The following is a DFT calculation (PBE) of an optimized crystal structure of Co4MoRu. Values from VASP.

Calculated values
- Size of the total moment: 1.004 μB per atom
- Symmetry: No. 216
- Energy of formation from the pure elements: 0.05 eV/atom

```
&SYSTEM
  ibrav = 0, nat = 6, ntyp = 3
/
ATOMIC_SPECIES
Mo 95.94 Mo.upf
Co 58.93 Co.upf
Ru 101.07 Ru.upf
CELL_PARAMETERS angstrom
4.6834 0.0000 0.0000
2.3417 4.0559 0.0000
2.3417 1.3520 3.8240
ATOMIC_POSITIONS crystal
Mo 0.2500 0.2500 0.2500
Co 0.6251 0.1247 0.6251
Co 0.6251 0.6251 0.6251
Co 0.6251 0.6251 0.1247
Co 0.1247 0.6251 0.6251
Ru 0.0000 0.0000 0.0000
```

***

(7)
The following is a DFT calculation (PBE) of an optimized crystal structure of CoMo2Ru. Values from VASP.

Calculated values
- Size of the total moment: 0.000 μB per atom
- Symmetry: No. 25
- Relative energy among the computed polymorphs: 0.036 eV per atom
- Energy of formation from the pure elements: 0.07 eV/atom

```
&SYSTEM
  ibrav = 0, nat = 4, ntyp = 3
/
ATOMIC_SPECIES
Co 58.93 Co.upf
Mo 95.94 Mo.upf
Ru 101.07 Ru.upf
CELL_PARAMETERS angstrom
-3.5103 0.1628 -2.5641
-0.4262 -2.6884 0.4127
-2.6751 0.9943 3.7254
ATOMIC_POSITIONS crystal
Co 0.5000 0.6249 0.8073
Mo 0.0000 0.1247 0.9401
Mo 0.5000 0.1254 0.2996
Ru 0.0000 0.6251 0.4530
```

***

(8)
The following is a DFT calculation (PBE) of an optimized crystal structure of CoMo2Ru. Values from VASP.

Calculated values
- Size of the total moment: 0.421 μB per atom
- Symmetry: No. 216
- Relative energy among the computed polymorphs: 0.197 eV per atom
- Energy of formation from the pure elements: 0.23 eV/atom

```
&SYSTEM
  ibrav = 0, nat = 4, ntyp = 3
/
ATOMIC_SPECIES
Mo 95.94 Mo.upf
Co 58.93 Co.upf
Ru 101.07 Ru.upf
CELL_PARAMETERS angstrom
-0.2268 4.1588 -1.1661
-3.8522 1.9211 -0.4203
-1.2524 2.9850 2.8685
ATOMIC_POSITIONS crystal
Mo 0.0000 0.0000 0.0000
Mo 0.2500 0.2500 0.2500
Co 0.5000 0.5000 0.5000
Ru 0.7500 0.7500 0.7500
```

***

(9)
The following is a DFT calculation (PBE) of an optimized crystal structure of CoMo2Ru. Values from VASP.

Calculated values
- Size of the total moment: 0.000 μB per atom
- Symmetry: No. 123
- Relative energy among the computed polymorphs: 0.000 eV per atom
- Energy of formation from the pure elements: 0.03 eV/atom

```
&SYSTEM
  ibrav = 0, nat = 4, ntyp = 3
/
ATOMIC_SPECIES
Mo 95.94 Mo.upf
Ru 101.07 Ru.upf
Co 58.93 Co.upf
CELL_PARAMETERS angstrom
3.8419 0.0000 0.0000
0.0000 3.8427 0.0000
0.0000 0.0000 3.7864
ATOMIC_POSITIONS crystal
Mo 0.5000 0.5000 0.0000
Mo 0.0000 0.0000 0.0000
Ru 0.5000 0.0000 0.5000
Co 0.0000 0.5000 0.5000
```

***

(10)
The following is a DFT calculation (PBE) of an optimized crystal structure of CoMo2Ru. Values from VASP.

Calculated values
- Size of the total moment: 0.602 μB per atom
- Symmetry: No. 225
- Relative energy among the computed polymorphs: 0.289 eV per atom
- Energy of formation from the pure elements: 0.32 eV/atom

```
&SYSTEM
  ibrav = 0, nat = 4, ntyp = 3
/
ATOMIC_SPECIES
Mo 95.94 Mo.upf
Co 58.93 Co.upf
Ru 101.07 Ru.upf
CELL_PARAMETERS angstrom
0.0000 3.0662 3.0662
3.0662 0.0000 3.0662
3.0662 3.0662 0.0000
ATOMIC_POSITIONS crystal
Mo 0.7500 0.7500 0.7500
Mo 0.2500 0.2500 0.2500
Co 0.0000 0.0000 0.0000
Ru 0.5000 0.5000 0.5000
```

***

(11)
The following is a DFT calculation (PBE) of an optimized crystal structure of CoMo2Ru. Values from VASP.

Calculated values
- Size of the total moment: 0.211 μB per atom
- Symmetry: No. 122
- Relative energy among the computed polymorphs: 0.658 eV per atom
- Energy of formation from the pure elements: 0.69 eV/atom

```
&SYSTEM
  ibrav = 0, nat = 8, ntyp = 3
/
ATOMIC_SPECIES
Mo 95.94 Mo.upf
Ru 101.07 Ru.upf
Co 58.93 Co.upf
CELL_PARAMETERS angstrom
-1.7072 -1.4814 3.0098
0.6894 -3.4600 -1.3119
7.0546 -2.5715 5.0895
ATOMIC_POSITIONS crystal
Mo 0.3750 0.3914 0.7500
Mo 0.1414 0.6250 0.2500
Mo 0.6086 0.1250 0.2500
Mo 0.8750 0.8586 0.7500
Ru 0.7500 0.2500 0.5000
Ru 0.0000 0.0000 0.0000
Co 0.2500 0.7500 0.5000
Co 0.5000 0.5000 0.0000
```

***

(12)
The following is a DFT calculation (PBE) of an optimized crystal structure of ScCoMoRu. Values from VASP.

Calculated values
- Size of the total moment: 0.440 μB per atom
- Symmetry: No. 216
- Energy of formation from the pure elements: -0.14 eV/atom

```
&SYSTEM
  ibrav = 0, nat = 4, ntyp = 4
/
ATOMIC_SPECIES
Sc 44.96 Sc.upf
Mo 95.94 Mo.upf
Co 58.93 Co.upf
Ru 101.07 Ru.upf
CELL_PARAMETERS angstrom
-1.3111 3.3986 -2.4715
1.0753 0.1637 -4.2656
-3.0968 -0.5795 -3.0744
ATOMIC_POSITIONS crystal
Sc 0.7500 0.7500 0.7500
Mo 0.2500 0.2500 0.2500
Co 0.5000 0.5000 0.5000
Ru 0.0000 0.0000 0.0000
```